The following is a PBE-GGA calculation of a relaxed Ti2CuSi4 crystal, from Alexandria via LeMat-Bulk.

a b c (Å): 4.5113 4.5113 12.3486
angles (deg): 90.00 90.00 90.00
Closest atoms and distances in Å follow each position.
Positions (direct):
Ti1 0.0000 0.0000 0.1106  5 Si 2.54-2.64, 1 Ti 2.73
Ti2 0.0000 0.0000 0.8894  5 Si 2.54-2.64, 1 Ti 2.73
Ti3 0.5000 0.5000 0.3894  5 Si 2.54-2.64, 1 Ti 2.73
Ti4 0.5000 0.5000 0.6106  5 Si 2.54-2.64, 1 Ti 2.73
Cu1 0.0000 0.0000 0.5000  6 Si 2.26-2.27
Cu2 0.5000 0.5000 0.0000  6 Si 2.26-2.27
Si1 0.0000 0.0000 0.3161  1 Cu 2.27, 1 Ti 2.54
Si2 0.0000 0.0000 0.6839  1 Cu 2.27, 1 Ti 2.54
Si3 0.0000 0.5000 0.0000  2 Cu 2.26
Si4 0.0000 0.5000 0.5000  2 Cu 2.26
Si5 0.5000 0.0000 0.0000  2 Cu 2.26
Si6 0.5000 0.0000 0.5000  2 Cu 2.26
Si7 0.5000 0.5000 0.1839  1 Cu 2.27, 1 Ti 2.54
Si8 0.5000 0.5000 0.8161  1 Cu 2.27, 1 Ti 2.54

Properties
E_form (uncorrected): 363 meV per atom
uncorrected energy: -78.1 eV for the cell shown
space group: I4/mmm, No. 139
energy above the lowest structure with this stoichiometry: 674.9 meV/atom